Density functional theory data (PBE) for crystalline BaLaIn at its relaxed geometry. Values from VASP.

```
&SYSTEM
  ibrav = 0, nat = 12, ntyp = 3
/
ATOMIC_SPECIES
La 138.91 La.upf
Ba 137.33 Ba.upf
In 114.82 In.upf
CELL_PARAMETERS angstrom
-7.246 -8.538 -7.382
4.468 1.214 -5.789
2.823 -3.622 1.419
ATOMIC_POSITIONS angstrom
La 1.841 -7.818 -7.337
La -1.796 -3.129 -4.415
La 4.052 -1.737 -4.356
La -4.008 -9.209 -7.396
Ba 1.316 -2.936 -1.972
Ba -1.272 -8.011 -9.779
Ba 3.762 -5.553 -5.379
Ba -3.718 -5.394 -6.373
In 0.000 0.000 0.000
In 0.022 -5.473 -5.876
In -2.212 -6.080 -2.981
In 2.234 0.607 -2.895
```

Output
E_form ... -0.17 eV/atom
Energy above the most stable polymorph in this dataset ... 157 meV/atom
ρ ... 5.4 g/cm³
DOS at the Fermi energy ... 13.596 states/eV per cell